Entry 1:
A plane-wave DFT calculation with PBE was carried out for crystalline AcAs2IrO8 at its relaxed geometry.

Lattice parameters (Å, degrees): 4.9618 4.9618 8.2170 72.43 72.43 60.00
Sites, in units of the cell vectors:
Ac: 0.0000 0.0000 0.0000
As: 0.7548 0.7548 0.7357
As: 0.2452 0.2452 0.2643
Ir: 0.5000 0.5000 0.5000
O: 0.6796 0.6796 0.9613
O: 0.3204 0.3204 0.0387
O: 0.5509 0.2559 0.3166
O: 0.7441 0.4491 0.6834
O: 0.1234 0.7441 0.6834
O: 0.2559 0.8766 0.3166
O: 0.8766 0.5509 0.3166
O: 0.4491 0.1234 0.6834

Calculated values
Calculated volume = 13.68 Å³ per atom
Symmetry = R32, No. 155
Raw formation energy = -1.32 eV per atom
Total moment = 0.0 μB/f.u.



Entry 2:
A plane-wave DFT calculation with PBE was carried out for crystalline Th6Rh5 at its relaxed geometry.

Lattice parameters (Å, degrees): 7.1033 7.0899 7.0909 80.48 70.73 59.94
Sites, in units of the cell vectors:
Th: 0.7443 0.0000 0.7501
Th: 0.2557 0.0000 0.2499
Th: 0.4246 0.6607 0.7448
Th: 0.9146 0.6607 0.2552
Th: 0.5754 0.3393 0.2552
Th: 0.0854 0.3393 0.7448
Rh: 0.5000 0.0000 0.5000
Rh: 0.3323 0.3354 0.0000
Rh: 0.6677 0.6646 0.0000
Rh: 0.1618 0.6765 0.5000
Rh: 0.8382 0.3235 0.5000

Calculated values
Calculated volume = 26.52 Å³ per atom
Formation enthalpy at 0 K = -77.4 kJ/mol of atoms
Symmetry = C2/m, No. 12
Total moment = 0.0 μB/f.u.



Entry 3:
A plane-wave DFT calculation with PBE was carried out for crystalline ScOs2Br at its relaxed geometry.

Lattice parameters (Å, degrees): 6.0770 6.0770 6.0770 145.13 145.13 50.14
Sites, in units of the cell vectors:
Br: 0.7500 0.2500 0.5000
Os: 0.0000 0.0000 0.0000
Os: 0.5000 0.5000 0.0000
Sc: 0.2500 0.7500 0.5000

Calculated values
Calculated volume = 18.25 Å³ per atom
Symmetry = I4/mmm, No. 139
Raw formation energy = 0.53 eV per atom
Total moment = 0.0 μB/f.u.
Distance to the lowest polymorph of the same formula = 571.2 meV/atom



Entry 4:
A plane-wave DFT calculation with PBE was carried out for crystalline MnAs at its relaxed geometry.

Lattice parameters (Å, degrees): 2.7950 2.7950 9.6308 90.00 90.00 120.00
Sites, in units of the cell vectors:
As: 0.0000 0.0000 0.9145
As: 0.6667 0.3333 0.3355
Mn: 0.0000 0.0000 0.5312
Mn: 0.6667 0.3333 0.7188

Calculated values
Calculated volume = 16.29 Å³ per atom
Formation enthalpy at 0 K = 12.7 kJ/mol of atoms
Symmetry = P-3m1, No. 164
Total moment = 0.5 μB/f.u.



Entry 5:
A plane-wave DFT calculation with PBE was carried out for crystalline CaPmNiRh at its relaxed geometry.

Lattice parameters (Å, degrees): 4.0500 4.1342 5.6975 90.00 110.82 90.00
Sites, in units of the cell vectors:
Ca: 0.1436 0.0000 0.2872
Pm: 0.8587 0.5000 0.7173
Ni: 0.5655 0.5000 0.1309
Rh: 0.4322 0.0000 0.8645

Calculated values
Calculated volume = 22.29 Å³ per atom
Formation enthalpy at 0 K = -39.8 kJ/mol of atoms
Symmetry = Amm2, No. 38
Total moment = 0.0 μB/f.u.
Distance to the lowest polymorph of the same formula = 0.0 meV/atom



Entry 6:
A plane-wave DFT calculation with PBE was carried out for crystalline CaB12H12 at its relaxed geometry.

Lattice parameters (Å, degrees): 6.9339 7.1265 10.8107 90.20 90.41 60.89
Sites, in units of the cell vectors:
Ca: 0.1702 0.6596 0.2500
Ca: 0.8298 0.3404 0.7500
B: 0.9214 0.4691 0.1646
B: 0.6096 0.4691 0.3354
B: 0.0786 0.5309 0.8354
B: 0.3904 0.5309 0.6646
B: 0.0666 0.1839 0.1630
B: 0.7495 0.1839 0.3370
B: 0.9334 0.8161 0.8370
B: 0.2505 0.8161 0.6630
B: 0.6373 0.5586 0.1868
B: 0.8041 0.5586 0.3132
B: 0.3627 0.4414 0.8132
B: 0.1959 0.4414 0.6868
B: 0.8684 0.0975 0.1874
B: 0.0341 0.0975 0.3126
B: 0.1316 0.9025 0.8126
B: 0.9659 0.9025 0.6874
B: 0.7992 0.3272 0.0949
B: 0.8736 0.3272 0.4051
B: 0.2008 0.6728 0.9051
B: 0.1264 0.6728 0.5949
B: 0.6060 0.3268 0.2013
B: 0.0672 0.3268 0.2987
B: 0.3940 0.6732 0.7987
B: 0.9328 0.6732 0.7013
H: 0.9803 0.5715 0.1017
H: 0.4481 0.5715 0.3983
H: 0.0197 0.4285 0.8983
H: 0.5519 0.4285 0.6017
H: 0.2277 0.0851 0.1013
H: 0.6872 0.0851 0.3987
H: 0.7723 0.9149 0.8987
H: 0.3128 0.9149 0.6013
H: 0.4939 0.7232 0.1432
H: 0.7829 0.7232 0.3568
H: 0.5061 0.2768 0.8568
H: 0.2171 0.2768 0.6432
H: 0.8830 0.9373 0.1395
H: 0.1797 0.9373 0.3605
H: 0.1170 0.0627 0.8605
H: 0.8203 0.0627 0.6395
H: 0.7698 0.3266 0.9853
H: 0.9036 0.3266 0.5147
H: 0.2302 0.6734 0.0147
H: 0.0964 0.6734 0.4853
H: 0.4428 0.3242 0.1638
H: 0.2330 0.3242 0.3362
H: 0.5572 0.6758 0.8362
H: 0.7670 0.6758 0.6638

Calculated values
Calculated volume = 9.33 Å³ per atom
Symmetry = C2/c, No. 15
VASP energy = -5.24 eV per atom
Total moment = 0.0 μB/f.u.